The following is a DFT calculation (PBE) of a relaxed structure of TaV6Pt.

## Properties
D(E_F)   7.65 states/eV/f.u.
Total magnetic moment   0.00 μB/f.u.
Energy relative to the elements   -0.2 eV/f.u.

Lattice parameters (Å, degrees): 5.210 5.124 5.124 119.31 95.53 95.53
Atoms (fractional coordinates):
Ta (0.000, 0.000, 0.000)
V (0.757, 0.018, 0.513)
V (0.757, 0.513, 0.018)
V (0.243, 0.487, 0.982)
V (0.243, 0.982, 0.487)
V (0.757, 0.511, 0.511)
V (0.243, 0.489, 0.489)
Pt (0.500, 0.000, 0.000)



The following is a DFT calculation (PBE) of a relaxed structure of Sc2TlPb.

## Properties
D(E_F)   3.63 states/eV/f.u.
E above lowest polymorph   69 meV per atom
Total magnetic moment   0.00 μB/f.u.
Energy relative to the elements   -1.0 eV/f.u.

Lattice parameters (Å, degrees): 3.433 5.309 5.309 90.00 90.00 90.00
Atoms (fractional coordinates):
Pb (0.500, 0.500, 0.500)
Sc (0.000, 0.000, 0.500)
Sc (0.000, 0.500, 0.000)
Tl (0.500, 0.000, 0.000)



The following is a DFT calculation (PBE) of a relaxed structure of LiAg2SbPd.

## Properties
D(E_F)   0.88 states/eV/f.u.
Uncorrected formation energy   0.163 eV/atom
Total magnetic moment   0.00 μB/f.u.

Lattice parameters (Å, degrees): 5.201 4.909 5.201 90.00 90.00 90.00
Atoms (fractional coordinates):
Sb (0.000, 0.500, 0.000)
Pd (0.000, 0.000, 0.000)
Ag (0.000, 0.000, 0.500)
Ag (0.500, 0.000, 0.000)
Li (0.500, 0.500, 0.500)



The following is a DFT calculation (PBE) of a relaxed structure of Sr3CeHg4.

## Properties
D(E_F)   12.41 states/eV/f.u.
Total magnetic moment   1.03 μB/f.u.
Energy relative to the elements   -3.8 eV/f.u.

Lattice parameters (Å, degrees): 3.934 3.934 16.084 90.00 90.00 90.00
Last column: magnetic moment on the atom in μB.
Atoms (fractional coordinates):
Sr (0.500, 0.500, 0.245)  0.00
Sr (0.500, 0.500, 0.500)  0.00
Sr (0.500, 0.500, 0.755)  0.00
Hg (0.000, 0.000, 0.887)  0.00
Hg (0.000, 0.000, 0.113)  0.00
Hg (0.000, 0.000, 0.372)  0.00
Hg (0.000, 0.000, 0.628)  0.00
Ce (0.500, 0.500, 0.000)  0.89



The following is a DFT calculation (PBE) of a relaxed structure of HfIn2TeO8.

## Properties
Uncorrected formation energy   -1.834 eV/atom
Total magnetic moment   0.00 μB/f.u.

Lattice parameters (Å, degrees): 4.899 4.895 6.493 90.00 90.00 92.06
Atoms (fractional coordinates):
Hf (0.000, 0.000, 0.500)
In (0.500, 0.500, 0.749)
In (0.500, 0.500, 0.251)
Te (0.000, 0.000, 0.000)
O (0.180, 0.818, 0.232)
O (0.712, 0.714, 0.000)
O (0.820, 0.182, 0.232)
O (0.820, 0.182, 0.768)
O (0.288, 0.286, 0.000)
O (0.180, 0.818, 0.768)
O (0.701, 0.703, 0.500)
O (0.299, 0.297, 0.500)



The following is a DFT calculation (PBE) of a relaxed structure of ErZnNi2.

## Properties
D(E_F)   2.74 states/eV/f.u.
Total magnetic moment   0.00 μB/f.u.
Energy relative to the elements   -1.0 eV/f.u.

Lattice parameters (Å, degrees): 3.370 4.280 4.280 90.00 90.00 90.00
Atoms (fractional coordinates):
Ni (0.000, 0.000, 0.500)
Ni (0.000, 0.500, 0.000)
Zn (0.500, 0.000, 0.000)
Er (0.500, 0.500, 0.500)